# 1
Below is TiGeSeBr2 after structural relaxation, with properties calculated at the PBE level.

CIF file:
```
data_TiGeSeBr2
_space_group_name_H-M_alt 'P 4/m m m'
_space_group_IT_number 123
_space_group_name_Hall '-P 4 2'
_cell_length_a 5.243
_cell_length_b 5.243
_cell_length_c 5.227
_cell_angle_alpha 90.00
_cell_angle_beta 90.00
_cell_angle_gamma 90.00
loop_
_atom_site_label
_atom_site_type_symbol
_atom_site_fract_x
_atom_site_fract_y
_atom_site_fract_z
_atom_site_occupancy
Ti1 Ti 0.000 0.000 0.000 1
Ge1 Ge 0.500 0.500 0.500 1
Se1 Se 0.500 0.500 0.000 1
Br1 Br 0.000 0.500 0.500 1
```

Results
**Calculated total energy**: -3.6663 eV/atom
**Volume**: 28.742 Å³ per atom
**Formation energy from raw total energies**: 0.202 eV per atom
**Offset from the most stable computed form**: 434 meV per atom


# 2
Below is TiGeSeBr2 after structural relaxation, with properties calculated at the PBE level.

CIF file:
```
data_TiGeSeBr2
_space_group_name_H-M_alt 'P 4/m m m'
_space_group_IT_number 123
_space_group_name_Hall '-P 4 2'
_cell_length_a 5.067
_cell_length_b 5.067
_cell_length_c 5.062
_cell_angle_alpha 90.00
_cell_angle_beta 90.00
_cell_angle_gamma 90.00
loop_
_atom_site_label
_atom_site_type_symbol
_atom_site_fract_x
_atom_site_fract_y
_atom_site_fract_z
_atom_site_occupancy
Ti1 Ti 0.000 0.000 0.000 1
Ge1 Ge 0.500 0.500 0.500 1
Se1 Se 0.000 0.000 0.500 1
Br1 Br 0.000 0.500 0.000 1
```

Results
**Calculated total energy**: -4.1002 eV/atom
**Volume**: 25.990 Å³ per atom
**Formation energy from raw total energies**: -0.232 eV per atom
**Offset from the most stable computed form**: 0 meV per atom


# 3
Below is TlGeSe2Br after structural relaxation, with properties calculated at the PBE level.

CIF file:
```
data_TlGeSe2Br
_space_group_name_H-M_alt 'P 4/m m m'
_space_group_IT_number 123
_space_group_name_Hall '-P 4 2'
_cell_length_a 5.406
_cell_length_b 5.406
_cell_length_c 5.470
_cell_angle_alpha 90.00
_cell_angle_beta 90.00
_cell_angle_gamma 90.00
loop_
_atom_site_label
_atom_site_type_symbol
_atom_site_fract_x
_atom_site_fract_y
_atom_site_fract_z
_atom_site_occupancy
Tl1 Tl 0.000 0.000 0.000 1
Ge1 Ge 0.500 0.500 0.500 1
Se1 Se 0.000 0.500 0.000 1
Br1 Br 0.000 0.000 0.500 1
```

Results
**Calculated total energy**: -2.6539 eV/atom
**Volume**: 31.972 Å³ per atom
**Formation energy from raw total energies**: 0.471 eV per atom
**Offset from the most stable computed form**: 628 meV per atom


| no. | total magnetization (μB/f.u.) |
| --- | --- |
| 1 | 2.351 |
| 2 | 0.367 |
| 3 | 0.000 |